A plane-wave DFT calculation with PBE was carried out for YMgTeC2 after structural relaxation.

Total energy (eV per cell): -22.3

Unit cell a=4.4789 b=4.4789 c=6.1574 alpha=90.00 beta=90.00 gamma=90.00
Last column: nearest neighbours and their distance in Å.
Space group P4/mmm (No. 123)
Asymmetric unit:
Y1 0.0000 0.0000 0.0000 (multiplicity 1)  4 C 2.24
Mg1 0.5000 0.5000 0.5000 (multiplicity 1)  4 Te 3.17
Te1 0.0000 0.0000 0.5000 (multiplicity 1)  2 Y 3.08, 4 Mg 3.17
C1 0.0000 0.5000 0.0000 (multiplicity 2)  2 Y 2.24

=====

A plane-wave DFT calculation with PBE was carried out for RbCaWN3 after structural relaxation.

Total energy (eV per cell): -179.4

Unit cell a=12.5681 b=3.5431 c=11.2920 alpha=90.00 beta=120.80 gamma=90.00
Last column: nearest neighbours and their distance in Å.
Space group C2/m (No. 12)
Asymmetric unit:
Rb1 0.1199 0.0000 0.4910 (multiplicity 4)  7 N 3.04-3.15, 1 Rb 3.12
Ca1 0.1662 0.0000 0.1700 (multiplicity 4)  4 N 2.36-2.42
W1 0.0581 0.5000 0.8331 (multiplicity 4)  4 N 1.80-2.00
N1 0.0956 0.0000 0.9278 (multiplicity 4)  2 W 2.00
N2 0.1098 0.5000 0.7106 (multiplicity 4)  1 W 1.80
N3 0.1137 0.5000 0.2682 (multiplicity 4)  1 W 1.85

=====

A plane-wave DFT calculation with PBE was carried out for TbPm4S5 after structural relaxation.

Total energy (eV per cell): -129.0

Unit cell a=4.0103 b=5.6715 c=20.0897 alpha=90.00 beta=90.00 gamma=90.00
Last column: nearest neighbours and their distance in Å.
Space group Immm (No. 71)
Asymmetric unit:
Tb1 0.0000 0.0000 0.0000 (multiplicity 2)  6 S 2.79-2.84
Pm1 0.0000 0.0000 0.1988 (multiplicity 4)  6 S 2.84-2.87
Pm2 0.0000 0.0000 0.3997 (multiplicity 4)  6 S 2.84
S1 0.0000 0.5000 0.0000 (multiplicity 2)  2 Tb 2.84, 4 Pm 2.84
S2 0.0000 0.5000 0.2006 (multiplicity 4)  6 Pm 2.84-2.85
S3 0.0000 0.5000 0.4034 (multiplicity 4)  2 Tb 2.79, 4 Pm 2.84-2.87

=====

| no. | E_form (uncorrected) (eV per atom) | DOS(E_F) (states/eV/f.u.) |
| --- | --- | --- |
| 1 | 1.466 | 3.0 |
| 2 | -0.657 | 0.0 |
| 3 | -2.023 | 4.7 |